# 1
CrBiS2 | PBE | relaxed

Cell lengths 6.0492, 9.1152, 6.4964 Å; angles 90.00, 90.00, 90.00 degrees
With the nearest neighbours (Å) after each atom.
Atoms (fractional coordinates):
1 Cr 0.0263 0.1641 0.0000  4 S 2.29-2.44
2 Cr 0.4737 0.6641 0.5000  4 S 2.29-2.44
3 Cr 0.5263 0.3359 0.0000  4 S 2.29-2.44
4 Cr 0.9737 0.8359 0.5000  4 S 2.29-2.44
5 Bi 0.1495 0.3857 0.6483  3 S 2.69-2.97
6 Bi 0.3505 0.8857 0.1483  3 S 2.69-2.97
7 Bi 0.6495 0.1143 0.6483  3 S 2.69-2.97
8 Bi 0.8505 0.6143 0.1483  3 S 2.69-2.97
9 S 0.0864 0.0626 0.6706  2 Cr 2.36-2.44
10 S 0.1696 0.6826 0.7105  2 Cr 2.29-2.30
11 S 0.3304 0.1826 0.2105  2 Cr 2.29-2.30
12 S 0.4136 0.5626 0.1706  2 Cr 2.36-2.44
13 S 0.5864 0.4374 0.6706  2 Cr 2.36-2.44
14 S 0.6696 0.8174 0.7105  2 Cr 2.29-2.30
15 S 0.8304 0.3174 0.2105  2 Cr 2.29-2.30
16 S 0.9136 0.9374 0.1706  2 Cr 2.36-2.44

Total magnetization ... 2.97 μB per formula unit
E ... -5.6666 eV per atom

# 2
CrBiS2 | PBE | relaxed

Cell lengths 7.7129, 3.4994, 12.3005 Å; angles 90.00, 90.00, 90.00 degrees
With the nearest neighbours (Å) after each atom.
Atoms (fractional coordinates):
1 Cr 0.0215 0.2500 0.0838  4 S 2.23
2 Cr 0.4785 0.7500 0.5838  4 S 2.23
3 Cr 0.5215 0.2500 0.4162  4 S 2.23
4 Cr 0.9785 0.7500 0.9162  4 S 2.23
5 Bi 0.1185 0.2500 0.6056  2 S 2.75
6 Bi 0.3815 0.7500 0.1056  2 S 2.75
7 Bi 0.6185 0.2500 0.8944  2 S 2.75
8 Bi 0.8815 0.7500 0.3944  2 S 2.75
9 S 0.0607 0.2500 0.2633  1 Cr 2.23
10 S 0.1569 0.2500 0.9234  3 Cr 2.23
11 S 0.3431 0.7500 0.4234  3 Cr 2.23
12 S 0.4393 0.7500 0.7633  1 Cr 2.23
13 S 0.5607 0.2500 0.2367  1 Cr 2.23
14 S 0.6569 0.2500 0.5766  3 Cr 2.23
15 S 0.8431 0.7500 0.0766  3 Cr 2.23
16 S 0.9393 0.7500 0.7367  1 Cr 2.23

Total magnetization ... 0.75 μB per formula unit
E ... -5.6836 eV per atom

# 3
CrBiS2 | PBE | relaxed

Cell lengths 6.2908, 3.3288, 15.6415 Å; angles 90.00, 90.00, 90.00 degrees
With the nearest neighbours (Å) after each atom.
Atoms (fractional coordinates):
1 Cr 0.0632 0.2500 0.0664  5 S 2.22-2.37
2 Cr 0.4368 0.7500 0.5664  5 S 2.22-2.37
3 Cr 0.5632 0.2500 0.4336  5 S 2.22-2.37
4 Cr 0.9368 0.7500 0.9336  5 S 2.22-2.37
5 Bi 0.0165 0.2500 0.6600  3 S 2.75-2.97
6 Bi 0.4835 0.7500 0.1600  3 S 2.75-2.97
7 Bi 0.5165 0.2500 0.8400  3 S 2.75-2.97
8 Bi 0.9835 0.7500 0.3400  3 S 2.75-2.97
9 S 0.0451 0.2500 0.8353  2 Cr 2.37
10 S 0.2471 0.2500 0.4962  3 Cr 2.22-2.32
11 S 0.2529 0.7500 0.9962  3 Cr 2.22-2.32
12 S 0.4549 0.7500 0.3353  2 Cr 2.37
13 S 0.5451 0.2500 0.6647  2 Cr 2.37
14 S 0.7471 0.2500 0.0038  3 Cr 2.22-2.32
15 S 0.7529 0.7500 0.5038  3 Cr 2.22-2.32
16 S 0.9549 0.7500 0.1647  2 Cr 2.37

Total magnetization ... 1.33 μB per formula unit
E ... -5.7581 eV per atom

# 4
Cr3BiS | PBE | relaxed

Cell lengths 4.2695, 4.2695, 4.2695 Å; angles 90.00, 90.00, 90.00 degrees
With the nearest neighbours (Å) after each atom.
Atoms (fractional coordinates):
1 Cr 0.0000 0.0000 0.5000  2 S 2.13
2 Cr 0.0000 0.5000 0.0000  2 S 2.13
3 Cr 0.5000 0.0000 0.0000  2 S 2.13
4 Bi 0.5000 0.5000 0.5000  12 Cr 3.02
5 S 0.0000 0.0000 0.0000  6 Cr 2.13

Total magnetization ... 0.00 μB per formula unit
E ... -6.8799 eV per atom

# 5
CrBi3S | PBE | relaxed

Cell lengths 5.3707, 5.3707, 5.3707 Å; angles 90.00, 90.00, 90.00 degrees
With the nearest neighbours (Å) after each atom.
Atoms (fractional coordinates):
1 Cr 0.0000 0.0000 0.0000  12 Bi 3.80
2 Bi 0.0000 0.5000 0.5000  2 S 2.69
3 Bi 0.5000 0.0000 0.5000  2 S 2.69
4 Bi 0.5000 0.5000 0.0000  2 S 2.69
5 S 0.5000 0.5000 0.5000  6 Bi 2.69

Total magnetization ... 3.64 μB per formula unit
E ... -4.3685 eV per atom

# 6
CrBiS2 | PBE | relaxed

Cell lengths 6.2906, 6.2906, 5.6215 Å; angles 103.77, 103.77, 124.75 degrees
With the nearest neighbours (Å) after each atom.
Atoms (fractional coordinates):
1 Cr 0.0086 0.9914 0.7500  4 S 2.24-2.27
2 Cr 0.9914 0.0086 0.2500  4 S 2.24-2.27
3 Bi 0.3910 0.6090 0.2500  4 Cr 3.12, 10 S 3.16-3.46
4 Bi 0.6090 0.3910 0.7500  4 Cr 3.12, 10 S 3.16-3.46
5 S 0.0165 0.2985 0.5991  2 Cr 2.24-2.27
6 S 0.2985 0.0165 0.0991  2 Cr 2.24-2.27
7 S 0.7015 0.9835 0.9009  2 Cr 2.24-2.27
8 S 0.9835 0.7015 0.4009  2 Cr 2.24-2.27

Total magnetization ... 1.15 μB per formula unit
E ... -5.6447 eV per atom

# 7
CrBiS2 | PBE | relaxed

Cell lengths 3.9798, 3.9798, 5.5729 Å; angles 90.00, 90.00, 90.00 degrees
With the nearest neighbours (Å) after each atom.
Atoms (fractional coordinates):
1 Cr 0.0000 0.0000 0.0000  6 S 2.79-2.81
2 Bi 0.5000 0.5000 0.5000  6 S 2.79-2.81
3 S 0.0000 0.0000 0.5000  2 Cr 2.79, 4 Bi 2.81
4 S 0.5000 0.5000 0.0000  2 Bi 2.79, 4 Cr 2.81

Total magnetization ... 4.69 μB per formula unit
E ... -5.5242 eV per atom

# 8
CrBiS2 | PBE | relaxed

Cell lengths 5.9463, 5.9463, 5.9463 Å; angles 105.23, 105.23, 118.34 degrees
With the nearest neighbours (Å) after each atom.
Atoms (fractional coordinates):
1 Cr 0.2500 0.7500 0.5000  4 S 2.25
2 Cr 0.7500 0.2500 0.5000  4 S 2.25
3 Bi 0.2500 0.2500 0.0000  2 Bi 3.05, 8 S 3.11
4 Bi 0.7500 0.7500 0.0000  2 Bi 3.05, 8 S 3.11
5 S 0.1617 0.6617 0.8233  2 Cr 2.25
6 S 0.3383 0.1617 0.5000  2 Cr 2.25
7 S 0.6617 0.8383 0.5000  2 Cr 2.25
8 S 0.8383 0.3383 0.1767  2 Cr 2.25

Total magnetization ... 0.00 μB per formula unit
E ... -5.5217 eV per atom